No. 1
The following is a PBE calculation of Zr2VCu after structural relaxation, from Alexandria.

As for the density of states at the Fermi level: 1.2012 states/eV per atom. For the excess energy over the best structure of this formula in the dataset, the calculation gives 0.049 eV/atom. The crystal system is cubic.

It has space group Fm-3m (No. 225), with a = 6.6112 Å, b = 6.6112 Å, c = 6.6112 Å, α = 90.00°, β = 90.00° and γ = 90.00°. Symmetry generates all atoms from Zr at (0.2500, 0.2500, 0.2500), V at (0.0000, 0.0000, 0.0000) and Cu at (0.0000, 0.0000, 0.5000).

---

No. 2
The following is a PBE calculation of ZrVCu after structural relaxation, from Alexandria.

As for the density of states at the Fermi level: 1.1527 states/eV per atom. For the excess energy over the best structure of this formula in the dataset, the calculation gives 0.176 eV/atom. The crystal system is tetragonal.

It has space group I4mm (No. 107), with a = 3.1317 Å, b = 3.1317 Å, c = 10.1110 Å, α = 90.00°, β = 90.00° and γ = 90.00°. Symmetry generates all atoms from Zr at (0.0000, 0.0000, 0.0000), V at (0.0000, 0.0000, 0.6830) and Cu at (0.0000, 0.0000, 0.3112).

---

No. 3
The following is a PBE calculation of ZrV3Cu after structural relaxation, from Alexandria.

As for the density of states at the Fermi level: 1.2820 states/eV per atom. For the excess energy over the best structure of this formula in the dataset, the calculation gives 0.817 eV/atom. The crystal system is cubic.

It has space group Pm-3m (No. 221), with a = 4.6397 Å, b = 4.6397 Å, c = 4.6397 Å, α = 90.00°, β = 90.00° and γ = 90.00°. Symmetry generates all atoms from Zr at (0.0000, 0.0000, 0.0000), V at (0.0000, 0.0000, 0.5000) and Cu at (0.5000, 0.5000, 0.5000).

---

No. 4
The following is a PBE calculation of ZrVCu2 after structural relaxation, from Alexandria.

As for the density of states at the Fermi level: 1.2990 states/eV per atom. For the excess energy over the best structure of this formula in the dataset, the calculation gives 0.000 eV/atom. The crystal system is cubic.

It has space group Fm-3m (No. 225), with a = 6.3102 Å, b = 6.3102 Å, c = 6.3102 Å, α = 90.00°, β = 90.00° and γ = 90.00°. Symmetry generates all atoms from Zr at (0.0000, 0.0000, 0.0000), V at (0.0000, 0.0000, 0.5000) and Cu at (0.2500, 0.2500, 0.2500).

---

No. 5
The following is a PBE calculation of Zr2VCu2 after structural relaxation, from Alexandria.

The total energy is -68.3 eV per cell. As for the density of states at the Fermi level: 1.1696 states/eV per atom. The crystal system is tetragonal.

It has space group P4/mbm (No. 127), with a = 7.1981 Å, b = 7.1981 Å, c = 3.3857 Å, α = 90.00°, β = 90.00° and γ = 90.00°. Symmetry generates all atoms from Zr at (0.1801, 0.3199, 0.0000), V at (0.0000, 0.0000, 0.5000) and Cu at (0.1208, 0.6208, 0.5000).

---

No. 6
The following is a PBE calculation of ZrVCu after structural relaxation, from Alexandria.

As for the density of states at the Fermi level: 1.1679 states/eV per atom. For the excess energy over the best structure of this formula in the dataset, the calculation gives 0.000 eV/atom. The crystal system is orthorhombic.

It has space group Amm2 (No. 38), with a = 8.4247 Å, b = 5.0616 Å, c = 9.0463 Å, α = 90.00°, β = 90.00° and γ = 90.00°. Symmetry generates all atoms from Zr at (0.1845, 0.0000, 0.0000), Zr at (0.3104, 0.0000, 0.6636), V at (0.0000, 0.0000, 0.4870), V at (0.5000, 0.0000, 0.1478), V at (0.5000, 0.2384, 0.9097), Cu at (0.0000, 0.2459, 0.7386) and Cu at (0.2471, 0.0000, 0.3262).

---

No. 7
The following is a PBE calculation of CuW8 after structural relaxation, from Alexandria.

The total energy is -208.8 eV per cell. As for the density of states at the Fermi level: 0.7219 states/eV per atom. The crystal system is tetragonal.

It has space group I4/mmm (No. 139), with a = 8.2128 Å, b = 8.2128 Å, c = 4.2623 Å, α = 90.00°, β = 90.00° and γ = 90.00°. Symmetry generates all atoms from Cu at (0.0000, 0.0000, 0.0000), W at (0.0000, 0.3241, 0.0000) and W at (0.1606, 0.1606, 0.5000).

---

No. 8
The following is a PBE calculation of CuW after structural relaxation, from Alexandria.

As for the density of states at the Fermi level: 0.6513 states/eV per atom. For the excess energy over the best structure of this formula in the dataset, the calculation gives 0.382 eV/atom. The crystal system is tetragonal.

It has space group P4/m (No. 83), with a = 9.7288 Å, b = 9.7288 Å, c = 2.5600 Å, α = 90.00°, β = 90.00° and γ = 90.00°. Symmetry generates all atoms from Cu at (0.0760, 0.8426, 0.0000), Cu at (0.3510, 0.4107, 0.5000), W at (0.1249, 0.3421, 0.0000) and W at (0.1330, 0.6042, 0.5000).

---

No. 9
The following is a PBE calculation of CuW after structural relaxation, from Alexandria.

As for the density of states at the Fermi level: 0.7469 states/eV per atom. For the excess energy over the best structure of this formula in the dataset, the calculation gives 0.123 eV/atom. The crystal system is trigonal.

It has space group R-3m (No. 166, hexagonal axes), with a = 2.7308 Å, b = 2.7308 Å, c = 27.1174 Å, α = 90.00°, β = 90.00° and γ = 120.00°. Symmetry generates all atoms from Cu at (0.0000, 0.0000, 0.1288) and W at (0.0000, 0.0000, 0.3790).

---

No. 10
The following is a PBE calculation of CuW after structural relaxation, from Alexandria.

As for the density of states at the Fermi level: 0.6772 states/eV per atom. For the excess energy over the best structure of this formula in the dataset, the calculation gives 0.186 eV/atom. The crystal system is trigonal.

It has space group R-3m (No. 166, hexagonal axes), with a = 2.7137 Å, b = 2.7137 Å, c = 13.6543 Å, α = 90.00°, β = 90.00° and γ = 120.00°. Symmetry generates all atoms from Cu at (0.0000, 0.0000, 0.0000) and W at (0.0000, 0.0000, 0.5000).

---

No. 11
The following is a PBE calculation of CuW after structural relaxation, from Alexandria.

As for the density of states at the Fermi level: 0.5018 states/eV per atom. For the excess energy over the best structure of this formula in the dataset, the calculation gives 0.146 eV/atom. The crystal system is monoclinic.

It has space group Cm (No. 8), with a = 10.0179 Å, b = 2.6594 Å, c = 6.6888 Å, α = 90.00°, β = 107.43° and γ = 90.00°. Symmetry generates all atoms from Cu at (0.0000, 0.0000, 0.0000), Cu at (0.0718, 0.0000, 0.5579), Cu at (0.1611, 0.5000, 0.3060), W at (0.2073, 0.5000, 0.9060), W at (0.3565, 0.0000, 0.6536) and W at (0.3804, 0.0000, 0.2603).

---

No. 12
The following is a PBE calculation of Cu4W5 after structural relaxation, from Alexandria.

As for the density of states at the Fermi level: 0.5730 states/eV per atom. For the excess energy over the best structure of this formula in the dataset, the calculation gives 0.149 eV/atom. The crystal system is hexagonal.

It has space group P6_3/mcm (No. 193), with a = 7.5426 Å, b = 7.5426 Å, c = 5.2335 Å, α = 90.00°, β = 90.00° and γ = 120.00°. Symmetry generates all atoms from Cu at (0.0000, 0.0000, 0.0000), Cu at (0.0000, 0.3579, 0.2500), W at (0.0000, 0.3105, 0.7500) and W at (0.3333, 0.6667, 0.0000).

---

No. 13
The following is a PBE calculation of CuW3 after structural relaxation, from Alexandria.

As for the density of states at the Fermi level: 0.6556 states/eV per atom. For the excess energy over the best structure of this formula in the dataset, the calculation gives 0.173 eV/atom. The crystal system is orthorhombic.

It has space group Cmmm (No. 65), with a = 5.5402 Å, b = 7.7933 Å, c = 2.8503 Å, α = 90.00°, β = 90.00° and γ = 90.00°. Symmetry generates all atoms from Cu at (0.0000, 0.0000, 0.0000), W at (0.0000, 0.5000, 0.0000) and W at (0.2500, 0.2500, 0.5000).

---

No. 14
The following is a PBE calculation of CuW after structural relaxation, from Alexandria.

As for the density of states at the Fermi level: 0.7024 states/eV per atom. For the excess energy over the best structure of this formula in the dataset, the calculation gives 0.385 eV/atom. The crystal system is cubic.

It has space group P2_13 (No. 198), with a = 4.8569 Å, b = 4.8569 Å, c = 4.8569 Å, α = 90.00°, β = 90.00° and γ = 90.00°. Symmetry generates all atoms from Cu at (0.0980, 0.4020, 0.5980) and W at (0.0961, 0.9039, 0.4039).

---

No. 15
The following is a PBE calculation of Cu4W5 after structural relaxation, from Alexandria.

As for the density of states at the Fermi level: 0.7879 states/eV per atom. For the excess energy over the best structure of this formula in the dataset, the calculation gives 0.000 eV/atom. The crystal system is tetragonal.

It has space group I4/mmm (No. 139), with a = 8.2446 Å, b = 8.2446 Å, c = 3.8155 Å, α = 90.00°, β = 90.00° and γ = 90.00°. Symmetry generates all atoms from Cu at (0.0000, 0.3425, 0.0000), W at (0.0000, 0.0000, 0.0000) and W at (0.1695, 0.1695, 0.5000).

---

No. 16
The following is a PBE calculation of CuW3 after structural relaxation, from Alexandria.

As for the density of states at the Fermi level: 0.7009 states/eV per atom. For the excess energy over the best structure of this formula in the dataset, the calculation gives 0.136 eV/atom. The crystal system is orthorhombic.

It has space group Immm (No. 71), with a = 3.2894 Å, b = 4.3673 Å, c = 8.5757 Å, α = 90.00°, β = 90.00° and γ = 90.00°. Symmetry generates all atoms from Cu at (0.0000, 0.0000, 0.0000), W at (0.0000, 0.0000, 0.5000) and W at (0.0000, 0.5000, 0.2437).

---

No. 17
The following is a PBE calculation of CuW3 after structural relaxation, from Alexandria.

As for the density of states at the Fermi level: 0.5245 states/eV per atom. For the excess energy over the best structure of this formula in the dataset, the calculation gives 0.000 eV/atom. The crystal system is orthorhombic.

It has space group Cmmm (No. 65), with a = 3.2131 Å, b = 4.3572 Å, c = 8.7452 Å, α = 90.00°, β = 90.00° and γ = 90.00°. Symmetry generates all atoms from Cu at (0.0000, 0.0000, 0.0000), W at (0.0000, 0.0000, 0.5000) and W at (0.0000, 0.5000, 0.2415).

---

No. 18
The following is a PBE calculation of CuW after structural relaxation, from Alexandria.

As for the density of states at the Fermi level: 1.0035 states/eV per atom. For the excess energy over the best structure of this formula in the dataset, the calculation gives 2.043 eV/atom. The crystal system is cubic.

It has space group F-43m (No. 216), with a = 5.4362 Å, b = 5.4362 Å, c = 5.4362 Å, α = 90.00°, β = 90.00° and γ = 90.00°. Symmetry generates all atoms from Cu at (0.0000, 0.0000, 0.0000) and W at (0.2500, 0.2500, 0.2500).

---

No. 19
The following is a PBE calculation of Cu3W4 after structural relaxation, from Alexandria.

As for the density of states at the Fermi level: 0.6325 states/eV per atom. For the excess energy over the best structure of this formula in the dataset, the calculation gives 0.048 eV/atom. The crystal system is tetragonal.

It has space group I4/mmm (No. 139), with a = 3.2479 Å, b = 3.2479 Å, c = 19.5208 Å, α = 90.00°, β = 90.00° and γ = 90.00°. Symmetry generates all atoms from Cu at (0.0000, 0.0000, 0.0000), Cu at (0.0000, 0.0000, 0.2792), W at (0.0000, 0.0000, 0.1430) and W at (0.0000, 0.0000, 0.4263).

---

No. 20
The following is a PBE calculation of CuW3 after structural relaxation, from Alexandria.

As for the density of states at the Fermi level: 0.6057 states/eV per atom. For the excess energy over the best structure of this formula in the dataset, the calculation gives 0.129 eV/atom. The crystal system is tetragonal.

It has space group I4/mmm (No. 139), with a = 4.0023 Å, b = 4.0023 Å, c = 15.2207 Å, α = 90.00°, β = 90.00° and γ = 90.00°. Symmetry generates all atoms from Cu at (0.0000, 0.0000, 0.1249), W at (0.0000, 0.0000, 0.3767), W at (0.0000, 0.5000, 0.0000) and W at (0.0000, 0.5000, 0.2500).

---

No. 21
The following is a PBE calculation of CuW after structural relaxation, from Alexandria.

As for the density of states at the Fermi level: 0.6424 states/eV per atom. For the excess energy over the best structure of this formula in the dataset, the calculation gives 0.139 eV/atom. The crystal system is monoclinic.

It has space group C2/m (No. 12), with a = 8.9771 Å, b = 2.6348 Å, c = 4.8691 Å, α = 90.00°, β = 97.03° and γ = 90.00°. Symmetry generates all atoms from Cu at (0.1273, 0.0000, 0.3847) and W at (0.1201, 0.5000, 0.8683).

---

No. 22
The following is a PBE calculation of Cu3W4 after structural relaxation, from Alexandria.

As for the density of states at the Fermi level: 0.9792 states/eV per atom. For the excess energy over the best structure of this formula in the dataset, the calculation gives 0.000 eV/atom. The crystal system is hexagonal.

It has space group P6/mmm (No. 191), with a = 4.8207 Å, b = 4.8207 Å, c = 4.9466 Å, α = 90.00°, β = 90.00° and γ = 120.00°. Symmetry generates all atoms from Cu at (0.0000, 0.5000, 0.0000), W at (0.0000, 0.0000, 0.2582) and W at (0.3333, 0.6667, 0.5000).

---

No. 23
The following is a PBE calculation of CuW3 after structural relaxation, from Alexandria.

As for the density of states at the Fermi level: 0.7335 states/eV per atom. For the excess energy over the best structure of this formula in the dataset, the calculation gives 0.070 eV/atom. The crystal system is cubic.

It has space group Pm-3n (No. 223), with a = 4.9553 Å, b = 4.9553 Å, c = 4.9553 Å, α = 90.00°, β = 90.00° and γ = 90.00°. Symmetry generates all atoms from Cu at (0.0000, 0.0000, 0.0000) and W at (0.0000, 0.2500, 0.5000).

---

No. 24
The following is a PBE calculation of Cu5W4 after structural relaxation, from Alexandria.

As for the density of states at the Fermi level: 0.5470 states/eV per atom. For the excess energy over the best structure of this formula in the dataset, the calculation gives 0.185 eV/atom. The crystal system is hexagonal.

It has space group P6_3/mcm (No. 193), with a = 7.4673 Å, b = 7.4673 Å, c = 5.2310 Å, α = 90.00°, β = 90.00° and γ = 120.00°. Symmetry generates all atoms from Cu at (0.0000, 0.3367, 0.2500), Cu at (0.3333, 0.6667, 0.0000), W at (0.0000, 0.0000, 0.0000) and W at (0.0000, 0.3315, 0.7500).

---

No. 25
The following is a PBE calculation of CuW3 after structural relaxation, from Alexandria.

As for the density of states at the Fermi level: 0.8117 states/eV per atom. For the excess energy over the best structure of this formula in the dataset, the calculation gives 0.246 eV/atom. The crystal system is hexagonal.

It has space group P-6m2 (No. 187), with a = 2.7553 Å, b = 2.7553 Å, c = 9.4990 Å, α = 90.00°, β = 90.00° and γ = 120.00°. Symmetry generates all atoms from Cu at (0.0000, 0.0000, 0.0000), W at (0.0000, 0.0000, 0.5000) and W at (0.6667, 0.3333, 0.2386).

---

No. 26
The following is a PBE calculation of CuW3 after structural relaxation, from Alexandria.

As for the density of states at the Fermi level: 0.5258 states/eV per atom. For the excess energy over the best structure of this formula in the dataset, the calculation gives 0.169 eV/atom. The crystal system is monoclinic.

It has space group C2/m (No. 12), with a = 9.2300 Å, b = 2.6541 Å, c = 5.0823 Å, α = 90.00°, β = 96.20° and γ = 90.00°. Symmetry generates all atoms from Cu at (0.0000, 0.0000, 0.0000), W at (0.0000, 0.5000, 0.5000) and W at (0.2433, 0.5000, 0.2410).